Entry 1:
## K2NaPPt (GGA-PBE)

Data for a relaxed structure of K2NaPPt.

Cell: 6.523 6.523 4.394 Å, 90.00 90.00 90.00°
Sites, in units of the cell vectors:
K 0.000 0.500 0.000
K 0.500 0.000 0.000
Na 0.500 0.500 0.500
Pt 0.000 0.000 0.000
P 0.000 0.000 0.500

The total energy is -3.237 eV per atom. As for the total magnetization: 0.00 μB per formula unit. The formation energy is -0.244 eV per atom.



Entry 2:
## KNa2PPt (GGA-PBE)

Data for a relaxed structure of KNa2PPt.

Cell: 5.511 5.511 4.526 Å, 90.00 90.00 90.00°
Sites, in units of the cell vectors:
Pt 0.000 0.000 0.500
Na 0.500 0.000 0.000
Na 0.000 0.500 0.000
K 0.500 0.500 0.500
P 0.000 0.000 0.000

The total energy is -3.314 eV per atom. Its energy above the most stable polymorph in this dataset is 6 meV/atom. As for the total magnetization: 0.25 μB per formula unit. The formation energy is -0.277 eV per atom.



Entry 3:
## K2NaPPt (GGA-PBE)

Data for a relaxed structure of K2NaPPt.

Cell: 6.451 6.451 4.385 Å, 90.00 90.00 90.00°
Sites, in units of the cell vectors:
P 0.000 0.000 0.000
Na 0.500 0.500 0.500
K 0.500 0.000 0.000
K 0.000 0.500 0.000
Pt 0.000 0.000 0.500

The total energy is -3.238 eV per atom. As for the total magnetization: 0.00 μB per formula unit. The formation energy is -0.245 eV per atom.



Entry 4:
## KRbNa2P (GGA-PBE)

Data for a relaxed structure of KRbNa2P.

Cell: 5.722 5.722 6.420 Å, 90.00 90.00 90.00°
Sites, in units of the cell vectors:
Na 0.500 0.000 0.000
Na 0.000 0.500 0.000
P 0.000 0.000 0.000
K 0.000 0.000 0.500
Rb 0.500 0.500 0.500

The total energy is -2.131 eV per atom. As for the total magnetization: 0.00 μB per formula unit. The formation energy is -0.109 eV per atom.